(1)
4
Lattice="-3.5840 0.0334 2.0662 1.4013 -0.9128 2.4453 1.7729 5.8859 2.9799" Properties=species:S:1:pos:R:3 comment="AgAs2Os, relaxed, DFT PBE" delta_e_f_kcal_per_mol_atoms=9.8 e_tot_ev_per_atom=-5.42 sg="No. 38" density_g_cm3=9.1 polymorph_energy_kj_per_mol_atoms=23.10 pbc="T T T"
As 1.7461 5.1541 2.9452
Ag 0.4906 3.7414 4.9321
Os 1.3537 2.8287 2.3022
As -0.6402 1.6548 3.0045

=====

(2)
5
Lattice="5.4320 0.0000 0.0000 0.0000 5.3798 0.0000 0.0000 0.0000 5.4320" Properties=species:S:1:pos:R:3 comment="CaCdPbSe2, relaxed, DFT PBE" e_tot_ev_per_atom=-2.83 sg="No. 123" formation_energy_uncorrected_ev_per_atom=-0.11 density_g_cm3=5.4 pbc="T T T"
Se 0.0000 0.0000 2.7160
Ca 2.7160 2.6899 2.7160
Se 2.7160 0.0000 0.0000
Cd 0.0000 0.0000 0.0000
Pb 0.0000 2.6899 0.0000

=====

(3)
3
Lattice="-4.0296 0.8415 -3.7792 -4.7226 -2.9779 0.2408 -4.7819 2.4627 1.5155" Properties=species:S:1:pos:R:3 comment="SrLaZr, relaxed, DFT PBE" delta_e_f_kcal_per_mol_atoms=22.1 e_tot_ev_per_atom=-4.09 sg="No. 216" density_g_cm3=4.3 polymorph_energy_kj_per_mol_atoms=63.57 pbc="T T T"
Sr -6.7670 0.1632 -1.0114
La 0.0000 0.0000 0.0000
Zr -10.1506 0.2447 -1.5171